Here is an optimized crystal structure of Ca4TaSb from Alexandria. Energies are from PBE.

## Properties
E ... -3.307 eV per atom
Space group ... F-43m (216)
Energy relative to the elements, uncorrected ... 690 meV per atom
D(E_F) ... 4.93 states/eV per cell
Size of the total moment ... 0.65 μB per atom

POSCAR file:
```
Ca4TaSb
1.0
0.000 4.517 4.517
4.517 0.000 4.517
4.517 4.517 0.000
Ca Ta Sb
4 1 1
Direct
0.876 0.375 0.375 Ca
0.375 0.375 0.876 Ca
0.375 0.876 0.375 Ca
0.375 0.375 0.375 Ca
0.000 0.000 0.000 Ta
0.750 0.750 0.750 Sb
```

Here is an optimized crystal structure of NdSm2Y6Er3 from Alexandria. Energies are from PBE.

## Properties
E ... -5.536 eV per atom
Formation energy from the elements ... 0.02 eV per atom
Space group ... C2/m (12)
D(E_F) ... 17.29 states/eV per cell
Size of the total moment ... 0.00 μB per atom

POSCAR file:
```
NdSm2Y6Er3
1.0
-5.640 -2.262 -1.192
4.909 -2.136 -3.112
1.817 -6.741 9.543
Nd Sm Y Er
1 2 6 3
Direct
0.000 0.000 0.000 Nd
0.333 0.667 0.000 Sm
0.667 0.333 0.000 Sm
0.915 0.582 0.747 Y
0.751 0.751 0.253 Y
0.085 0.418 0.253 Y
0.582 0.915 0.747 Y
0.249 0.249 0.747 Y
0.418 0.085 0.253 Y
0.167 0.833 0.500 Er
0.833 0.167 0.500 Er
0.500 0.500 0.500 Er
```

Here is an optimized crystal structure of PmPd4Au2 from Alexandria. Energies are from PBE.

## Properties
E ... -5.059 eV per atom
Formation energy from the elements ... -0.48 eV per atom
Space group ... C2/m (12)
Excess energy over the best structure of this formula in the dataset ... 0.0 meV per atom
D(E_F) ... 2.61 states/eV per cell
Size of the total moment ... 0.00 μB per atom

POSCAR file:
```
PmPd4Au2
1.0
5.567 0.321 0.270
2.470 4.874 -0.517
-1.538 -1.798 5.057
Pm Pd Au
1 4 2
Direct
0.000 0.000 0.000 Pm
0.601 0.699 0.000 Pd
0.399 0.301 0.000 Pd
0.000 0.301 0.601 Pd
0.000 0.699 0.399 Pd
0.500 0.750 0.500 Au
0.500 0.250 0.500 Au
```

Here is an optimized crystal structure of SrTiS3 from Alexandria. Energies are from PBE.

## Properties
E ... -3.888 eV per atom
Space group ... Pm-3m (221)
Energy relative to the elements, uncorrected ... 503 meV per atom
D(E_F) ... 26.48 states/eV per cell
Size of the total moment ... 0.00 μB per atom

POSCAR file:
```
SrTiS3
1.0
-4.763 -1.953 -1.357
1.887 -4.952 0.504
-1.447 -0.029 5.123
Sr S Ti
1 3 1
Direct
0.000 0.000 0.000 Sr
0.000 0.500 0.000 S
0.000 0.000 0.500 S
0.500 0.000 0.000 S
0.500 0.500 0.500 Ti
```

Here is an optimized crystal structure of CsTlSe2O8 from Alexandria. Energies are from PBE.

## Properties
E ... -5.036 eV per atom
Space group ... R-3 (148)
Energy relative to the elements, uncorrected ... -881 meV per atom
D(E_F) ... 0.00 states/eV per cell
Size of the total moment ... 0.00 μB per atom

POSCAR file:
```
CsTlSe2O8
1.0
5.281 0.000 0.000
2.641 4.573 0.000
2.641 1.524 9.344
Cs Tl Se O
1 1 2 8
Direct
0.500 0.500 0.500 Cs
0.000 0.000 0.000 Tl
0.265 0.265 0.206 Se
0.735 0.735 0.794 Se
0.206 0.206 0.382 O
0.590 0.278 0.147 O
0.794 0.794 0.618 O
0.984 0.590 0.147 O
0.016 0.410 0.853 O
0.278 0.984 0.147 O
0.722 0.016 0.853 O
0.410 0.722 0.853 O
```

Here is an optimized crystal structure of HoLuTcHg from Alexandria. Energies are from PBE.

## Properties
E ... -5.128 eV per atom
Formation energy from the elements ... -0.19 eV per atom
Space group ... F-43m (216)
D(E_F) ... 2.67 states/eV per cell
Size of the total moment ... 0.00 μB per atom

POSCAR file:
```
HoLuTcHg
1.0
4.976 0.000 0.000
2.488 4.310 0.000
2.488 1.437 4.063
Tc Lu Hg Ho
1 1 1 1
Direct
0.000 0.000 0.000 Tc
0.250 0.250 0.250 Lu
0.500 0.500 0.500 Hg
0.750 0.750 0.750 Ho
```

Here is an optimized crystal structure of In3Fe from Alexandria. Energies are from PBE.

## Properties
E ... -3.762 eV per atom
Formation energy from the elements ... 0.41 eV per atom
Space group ... R-3m (166)
D(E_F) ... 2.46 states/eV per cell
Size of the total moment ... 0.71 μB per atom

POSCAR file:
```
In3Fe
1.0
5.707 -0.009 -0.026
-2.535 5.113 -0.026
-2.535 -4.078 3.085
Fe In
1 3
Direct
0.000 0.000 0.000 Fe
0.500 0.000 0.500 In
0.500 0.500 0.000 In
0.000 0.500 0.500 In
```

Here is an optimized crystal structure of LaNi2As2 from Alexandria. Energies are from PBE.

## Properties
E ... -6.000 eV per atom
Formation energy from the elements ... -0.84 eV per atom
Space group ... C2/m (12)
D(E_F) ... 2.44 states/eV per cell
Size of the total moment ... 0.00 μB per atom

POSCAR file:
```
LaNi2As2
1.0
-3.436 0.913 2.159
1.371 -2.366 3.134
3.377 4.752 -0.668
Ni As La
2 2 1
Direct
0.736 0.264 0.500 Ni
0.264 0.736 0.500 Ni
0.646 0.646 0.271 As
0.354 0.354 0.729 As
0.000 0.000 0.000 La
```